ScMn3, relaxed, DFT PBE; energy of formation = 0.392 eV/atom; total magnetization = 6.17 μB/cell
1.0
4.7456 0.0000 0.0000
0.0000 4.7456 0.0000
0.0000 0.0000 4.7456
Mn Sc
6 2
Direct
0.5000 0.0000 0.2500
0.7500 0.5000 0.0000
0.5000 0.0000 0.7500
0.0000 0.7500 0.5000
0.2500 0.5000 0.0000
0.0000 0.2500 0.5000
0.0000 0.0000 0.0000
0.5000 0.5000 0.5000